1.
{
  "formula": "TcRhI2O",
  "functional": "PBE",
  "state": "relaxed",
  "e_form_raw_ev_per_atom": 0.23,
  "spacegroup": "P4/mmm (123)",
  "e_tot_ev_per_atom": -4.93,
  "relative_energy_ev_per_atom": 0.000,
  "lattice_angstrom": [[5.480, 0.000, 0.000], [0.000, 5.480, 0.000], [0.000, 0.000, 3.696]],
  "species": ["Rh", "I", "I", "O", "Tc"],
  "fractional_positions": [[0.500, 0.500, 0.500], [0.500, 0.000, 0.000], [0.000, 0.500, 0.000], [0.000, 0.000, 0.500], [0.000, 0.000, 0.000]]
}



2.
{
  "formula": "Nd4As6O19",
  "functional": "PBE",
  "state": "relaxed",
  "e_form_raw_ev_per_atom": -1.84,
  "spacegroup": "I23 (197)",
  "e_tot_ev_per_atom": -6.71,
  "lattice_angstrom": [[-6.051, 4.199, -2.419], [-2.340, -5.017, 5.427], [5.386, 4.710, 2.985]],
  "species": ["Nd", "As", "Nd", "Nd", "O", "As", "O", "O", "Nd", "O", "O", "O", "O", "As", "O", "O", "O", "O", "As", "O", "O", "O", "O", "O", "As", "O", "O", "As", "O"],
  "fractional_positions": [[0.322, 0.322, 0.322], [0.337, 0.500, 0.837], [0.678, 0.000, 0.000], [0.000, 0.000, 0.678], [0.284, 0.249, 0.610], [0.163, 0.663, 0.500], [0.000, 0.644, 0.644], [0.035, 0.360, 0.751], [0.000, 0.678, 0.000], [0.674, 0.390, 0.640], [0.249, 0.610, 0.284], [0.000, 0.356, 0.356], [0.356, 0.356, 0.000], [0.837, 0.337, 0.500], [0.965, 0.716, 0.326], [0.390, 0.640, 0.674], [0.000, 0.000, 0.000], [0.644, 0.000, 0.644], [0.500, 0.837, 0.337], [0.360, 0.751, 0.035], [0.716, 0.326, 0.965], [0.644, 0.644, 0.000], [0.751, 0.035, 0.360], [0.326, 0.965, 0.716], [0.500, 0.163, 0.663], [0.356, 0.000, 0.356], [0.610, 0.284, 0.249], [0.663, 0.500, 0.163], [0.640, 0.674, 0.390]]
}



3.
{
  "formula": "K2CdGa7",
  "functional": "PBE",
  "state": "relaxed",
  "ef_ev_per_atom": -0.13,
  "spacegroup": "P-4m2 (115)",
  "e_tot_ev_per_atom": -2.56,
  "lattice_angstrom": [[4.544, 0.000, 0.000], [0.000, 4.544, 0.000], [0.000, 0.000, 11.264]],
  "species": ["K", "Ga", "Ga", "K", "Ga", "Ga", "Ga", "Cd", "Ga", "Ga"],
  "fractional_positions": [[0.000, 0.500, 0.256], [0.000, 0.000, 0.500], [0.500, 0.000, 0.141], [0.500, 0.000, 0.744], [0.000, 0.500, 0.628], [0.000, 0.000, 0.000], [0.000, 0.500, 0.859], [0.500, 0.500, 0.000], [0.500, 0.500, 0.500], [0.500, 0.000, 0.372]]
}



4.
{
  "formula": "Cs8KO2",
  "functional": "PBE",
  "state": "relaxed",
  "e_form_raw_ev_per_atom": -0.44,
  "spacegroup": "C2/m (12)",
  "e_tot_ev_per_atom": -2.06,
  "lattice_angstrom": [[-1.383, 5.301, 3.077], [-6.280, -5.461, 3.790], [5.256, -5.934, 11.190]],
  "species": ["Cs", "O", "Cs", "K", "Cs", "Cs", "Cs", "Cs", "O", "Cs", "Cs"],
  "fractional_positions": [[0.034, 0.599, 0.355], [0.000, 0.744, 0.511], [0.034, 0.954, 0.645], [0.500, 0.000, 0.000], [0.966, 0.401, 0.645], [0.500, 0.276, 0.448], [0.173, 0.327, 0.000], [0.500, 0.724, 0.552], [0.000, 0.256, 0.489], [0.966, 0.046, 0.355], [0.827, 0.673, 0.000]]
}



5.
{
  "formula": "Sc2CrRh",
  "functional": "PBE",
  "state": "relaxed",
  "ef_ev_per_atom": -0.35,
  "spacegroup": "P4/mmm (123)",
  "e_tot_ev_per_atom": -7.76,
  "relative_energy_ev_per_atom": 0.026,
  "lattice_angstrom": [[-2.181, 2.361, 0.597], [-0.386, -1.127, 3.045], [4.787, 3.904, 2.051]],
  "species": ["Sc", "Cr", "Rh", "Sc"],
  "fractional_positions": [[0.000, 0.000, 0.506], [0.500, 0.500, 0.250], [0.500, 0.500, 0.750], [0.000, 0.000, 0.994]]
}



6.
{
  "formula": "MnInSI2",
  "functional": "PBE",
  "state": "relaxed",
  "e_form_raw_ev_per_atom": 0.58,
  "spacegroup": "P4/mmm (123)",
  "e_tot_ev_per_atom": -3.25,
  "lattice_angstrom": [[-3.899, 0.922, -3.895], [3.377, -2.369, -3.941], [-2.254, -4.999, 1.073]],
  "species": ["S", "In", "Mn", "I", "I"],
  "fractional_positions": [[0.000, 0.000, 0.000], [0.000, 0.500, 0.000], [0.500, 0.500, 0.500], [0.500, 0.000, 0.000], [0.000, 0.000, 0.500]]
}



7.
{
  "formula": "Pa2MnCo4Si3",
  "functional": "PBE",
  "state": "relaxed",
  "e_form_raw_ev_per_atom": -0.65,
  "spacegroup": "P-4m2 (115)",
  "e_tot_ev_per_atom": -7.93,
  "lattice_angstrom": [[3.873, 0.000, 0.000], [0.000, 3.873, 0.000], [0.000, 0.000, 9.701]],
  "species": ["Pa", "Co", "Co", "Si", "Si", "Si", "Pa", "Co", "Mn", "Co"],
  "fractional_positions": [[0.000, 0.500, 0.750], [0.000, 0.000, 0.000], [0.500, 0.500, 0.000], [0.000, 0.500, 0.128], [0.500, 0.000, 0.872], [0.000, 0.000, 0.500], [0.500, 0.000, 0.250], [0.000, 0.500, 0.366], [0.500, 0.500, 0.500], [0.500, 0.000, 0.634]]
}



8.
{
  "formula": "Zr4PaRh",
  "functional": "PBE",
  "state": "relaxed",
  "ef_ev_per_atom": -0.23,
  "spacegroup": "P4/mmm (123)",
  "e_tot_ev_per_atom": -8.74,
  "lattice_angstrom": [[-3.121, -0.505, -0.694], [0.857, -1.689, -2.625], [0.184, -10.490, 6.809]],
  "species": ["Zr", "Rh", "Pa", "Zr", "Zr", "Zr"],
  "fractional_positions": [[0.000, 0.000, 0.635], [0.500, 0.500, 0.500], [0.000, 0.000, 0.000], [0.000, 0.000, 0.365], [0.500, 0.500, 0.190], [0.500, 0.500, 0.810]]
}



9.
{
  "formula": "LiSnPb2W",
  "functional": "PBE",
  "state": "relaxed",
  "ef_ev_per_atom": 0.48,
  "spacegroup": "P4/mmm (123)",
  "e_tot_ev_per_atom": -4.77,
  "lattice_angstrom": [[5.439, 0.000, 0.000], [0.000, 5.439, 0.000], [0.000, 0.000, 5.320]],
  "species": ["Pb", "Li", "Sn", "W", "Pb"],
  "fractional_positions": [[0.500, 0.000, 0.000], [0.500, 0.500, 0.500], [0.000, 0.000, 0.500], [0.000, 0.000, 0.000], [0.000, 0.500, 0.000]]
}



10.
{
  "formula": "GeS3F",
  "functional": "PBE",
  "state": "relaxed",
  "e_form_raw_ev_per_atom": 0.59,
  "spacegroup": "Pm-3m (221)",
  "e_tot_ev_per_atom": -3.19,
  "relative_energy_ev_per_atom": 0.000,
  "lattice_angstrom": [[4.624, 0.000, 0.000], [0.000, 4.624, 0.000], [0.000, 0.000, 4.624]],
  "species": ["S", "Ge", "S", "S", "F"],
  "fractional_positions": [[0.500, 0.000, 0.000], [0.000, 0.000, 0.000], [0.000, 0.500, 0.000], [0.000, 0.000, 0.500], [0.500, 0.500, 0.500]]
}



no.,DOS at the Fermi energy (states/eV/cell)
1,4.98
2,10.82
3,3.32
4,5.81
5,3.11
6,2.98
7,8.46
8,7.87
9,1.66
10,6.65